# Dy2ErNi4Ge4, optimized geometry, DFT GGA-PBE
data_Dy2ErNi4Ge4
_cell_length_a 4.0890
_cell_length_b 6.6744
_cell_length_c 13.5022
_cell_angle_alpha 90.00
_cell_angle_beta 90.00
_cell_angle_gamma 90.00
_symmetry_space_group_name_H-M 'I m m m'
_symmetry_Int_Tables_number 71
_symmetry_space_group_name_Hall '-I 2 2'
loop_
_atom_site_label
_atom_site_type_symbol
_atom_site_fract_x
_atom_site_fract_y
_atom_site_fract_z
_atom_site_occupancy
Dy1 Dy 0.0000 0.0000 0.1292 1
Er1 Er 0.0000 0.5000 0.0000 1
Ni1 Ni 0.0000 0.1944 0.3234 1
Ge1 Ge 0.0000 0.3051 0.5000 1
Ge2 Ge 0.0000 0.5000 0.2171 1
# Crystal system: orthorhombic
# Energy: -5.691 eV/atom

***

# DyErGe2Os, optimized geometry, DFT GGA-PBE
data_DyErGe2Os
_cell_length_a 10.7262
_cell_length_b 4.2927
_cell_length_c 10.0918
_cell_angle_alpha 90.00
_cell_angle_beta 118.00
_cell_angle_gamma 90.00
_symmetry_space_group_name_H-M 'C 1 2/m 1'
_symmetry_Int_Tables_number 12
_symmetry_space_group_name_Hall '-C 2y'
loop_
_atom_site_label
_atom_site_type_symbol
_atom_site_fract_x
_atom_site_fract_y
_atom_site_fract_z
_atom_site_occupancy
Dy1 Dy 0.1843 0.0000 0.1150 1
Er1 Er 0.0038 0.0000 0.6744 1
Ge1 Ge 0.0130 0.5000 0.8751 1
Ge2 Ge 0.1417 0.5000 0.5612 1
Os1 Os 0.2298 0.5000 0.3681 1
# Energy relative to the lowest polymorph listed for this composition: 0 meV/atom
# Crystal system: monoclinic
# Energy: -6.627 eV/atom

***

# DyErGe4Os2, optimized geometry, DFT GGA-PBE
data_DyErGe4Os2
_cell_length_a 4.4426
_cell_length_b 4.4379
_cell_length_c 8.2853
_cell_angle_alpha 90.00
_cell_angle_beta 104.71
_cell_angle_gamma 90.00
_symmetry_space_group_name_H-M 'P 1 m 1'
_symmetry_Int_Tables_number 6
_symmetry_space_group_name_Hall 'P -2y'
loop_
_atom_site_label
_atom_site_type_symbol
_atom_site_fract_x
_atom_site_fract_y
_atom_site_fract_z
_atom_site_occupancy
Dy1 Dy 0.0000 0.0000 0.0000 1
Er1 Er 0.7628 0.5000 0.5807 1
Ge1 Ge 0.0617 0.5000 0.3004 1
Ge2 Ge 0.3439 0.0000 0.7061 1
Ge3 Ge 0.4217 0.5000 0.8762 1
Ge4 Ge 0.7071 0.0000 0.2833 1
Os1 Os 0.2799 0.0000 0.4095 1
Os2 Os 0.4893 0.5000 0.1739 1
# Crystal system: monoclinic
# Energy: -6.703 eV/atom

***

# DyErGe2Os, optimized geometry, DFT GGA-PBE
data_DyErGe2Os
_cell_length_a 10.7698
_cell_length_b 4.2945
_cell_length_c 10.0907
_cell_angle_alpha 90.00
_cell_angle_beta 118.21
_cell_angle_gamma 90.00
_symmetry_space_group_name_H-M 'C 1 2/m 1'
_symmetry_Int_Tables_number 12
_symmetry_space_group_name_Hall '-C 2y'
loop_
_atom_site_label
_atom_site_type_symbol
_atom_site_fract_x
_atom_site_fract_y
_atom_site_fract_z
_atom_site_occupancy
Dy1 Dy 0.0048 0.0000 0.1757 1
Er1 Er 0.1833 0.0000 0.6150 1
Ge1 Ge 0.0130 0.5000 0.3764 1
Ge2 Ge 0.1428 0.5000 0.0620 1
Os1 Os 0.2293 0.5000 0.8673 1
# Energy relative to the lowest polymorph listed for this composition: 9 meV/atom
# Crystal system: monoclinic
# Energy: -6.619 eV/atom

***

# DyErGe2Pd, optimized geometry, DFT GGA-PBE
data_DyErGe2Pd
_cell_length_a 10.5440
_cell_length_b 4.3264
_cell_length_c 10.2506
_cell_angle_alpha 90.00
_cell_angle_beta 117.15
_cell_angle_gamma 90.00
_symmetry_space_group_name_H-M 'C 1 2/m 1'
_symmetry_Int_Tables_number 12
_symmetry_space_group_name_Hall '-C 2y'
loop_
_atom_site_label
_atom_site_type_symbol
_atom_site_fract_x
_atom_site_fract_y
_atom_site_fract_z
_atom_site_occupancy
Dy1 Dy 0.1850 0.0000 0.1077 1
Er1 Er 0.0098 0.0000 0.3295 1
Ge1 Ge 0.0265 0.5000 0.8842 1
Ge2 Ge 0.1379 0.5000 0.5683 1
Pd1 Pd 0.2235 0.5000 0.3494 1
# Crystal system: monoclinic
# Energy: -5.642 eV/atom

***

# DyEr2Ge4Pd4, optimized geometry, DFT GGA-PBE
data_DyEr2Ge4Pd4
_cell_length_a 4.1608
_cell_length_b 7.1031
_cell_length_c 13.9436
_cell_angle_alpha 90.00
_cell_angle_beta 90.00
_cell_angle_gamma 90.00
_symmetry_space_group_name_H-M 'I m m m'
_symmetry_Int_Tables_number 71
_symmetry_space_group_name_Hall '-I 2 2'
loop_
_atom_site_label
_atom_site_type_symbol
_atom_site_fract_x
_atom_site_fract_y
_atom_site_fract_z
_atom_site_occupancy
Dy1 Dy 0.0000 0.0000 0.0000 1
Er1 Er 0.0000 0.5000 0.1259 1
Ge1 Ge 0.0000 0.0000 0.2181 1
Ge2 Ge 0.0000 0.1876 0.5000 1
Pd1 Pd 0.0000 0.2987 0.3249 1
# Crystal system: orthorhombic
# Energy: -5.724 eV/atom